(1)
Material: TbDy4As5
Method: DFT, PBE
State: relaxed

Cell lengths 9.2202, 9.2202, 5.8305 Å; angles 90.00, 90.00, 90.00 degrees
Space group I4/m (No. 87)
One atom of each set of equivalent atoms:
Tb 0.0000 0.0000 0.0000
Dy 0.1002 0.3000 0.5000
As 0.0000 0.0000 0.5000
As 0.1002 0.3006 0.0000

## Properties
Total magnetic moment   0.00 μB/f.u.
Fermi-level density of states   1.457 states/eV per cell
ΔE_f   -15.39 eV per formula unit


(2)
Material: TbDyTeAs
Method: DFT, PBE
State: relaxed

Cell lengths 4.1520, 4.1520, 21.9504 Å; angles 90.00, 90.00, 120.00 degrees
Space group R3m (No. 160, hexagonal axes)
One atom of each set of equivalent atoms:
Tb 0.0000 0.0000 0.0000
Dy 0.0000 0.0000 0.8107
Te 0.0000 0.0000 0.2377
As 0.0000 0.0000 0.4078

## Properties
Total magnetic moment   0.00 μB/f.u.
Fermi-level density of states   7.936 states/eV per cell
Total DFT energy (no corrections)   -5.73 eV per atom


(3)
Material: TbDyTh2As4
Method: DFT, PBE
State: relaxed

Cell lengths 7.2277, 4.2046, 7.2820 Å; angles 90.00, 109.69, 90.00 degrees
Space group P2/m (No. 10)
One atom of each set of equivalent atoms:
Tb 0.0000 0.0000 0.0000
Dy 0.0000 0.5000 0.5000
Th 0.5000 0.0000 0.5000
Th 0.5000 0.5000 0.0000
As 0.2426 0.0000 0.7469
As 0.2430 0.5000 0.2482

## Properties
Total magnetic moment   0.00 μB/f.u.
Fermi-level density of states   3.898 states/eV per cell
ΔE_f   -11.78 eV per formula unit